No. 1
{
  "formula": "RbTmCuCl6",
  "functional": "PBE-GGA",
  "state": "relaxed",
  "m_tot_mub_per_fu": 0.99,
  "raw_formation_energy_ev_per_atom": -1.62,
  "lattice_angstrom": [[6.5161, 0.0000, 0.0000], [-2.6560, 5.9521, 0.0000], [-0.4217, -0.6433, 7.3162]],
  "species": ["Rb", "Tm", "Cu", "Cl", "Cl", "Cl", "Cl", "Cl", "Cl"],
  "frac_coords": [[0.0000, 0.0000, 0.0000], [0.3482, 0.6514, 0.5000], [0.6944, 0.3040, 0.5004], [0.0240, 0.3403, 0.6636], [0.0424, 0.6061, 0.2543], [0.3945, 0.9576, 0.7458], [0.4311, 0.3430, 0.2992], [0.6570, 0.5685, 0.7009], [0.6593, 0.9758, 0.3364]]
}


No. 2
{
  "formula": "Cu2Bi2Pb",
  "functional": "PBE-GGA",
  "state": "relaxed",
  "m_tot_mub_per_fu": 0.00,
  "dos_ef_per_ev_atom": 0.406,
  "de_polymorph_mev_per_atom": 63.3,
  "formation_enthalpy_0k_mev_per_atom": 195,
  "lattice_angstrom": [[7.5058, 0.0000, 0.0000], [0.0000, 7.5058, 0.0000], [0.0000, 0.0000, 4.1593]],
  "species": ["Cu", "Cu", "Cu", "Cu", "Bi", "Bi", "Bi", "Bi", "Pb", "Pb"],
  "frac_coords": [[0.1179, 0.3821, 0.0000], [0.3821, 0.8821, 0.0000], [0.6179, 0.1179, 0.0000], [0.8821, 0.6179, 0.0000], [0.1673, 0.6673, 0.5000], [0.3327, 0.1673, 0.5000], [0.6673, 0.8327, 0.5000], [0.8327, 0.3327, 0.5000], [0.0000, 0.0000, 0.0000], [0.5000, 0.5000, 0.0000]]
}


No. 3
{
  "formula": "Rb4PbBr5",
  "functional": "PBE-GGA",
  "state": "relaxed",
  "m_tot_mub_per_fu": 0.00,
  "dos_ef_per_ev_atom": 0.209,
  "raw_formation_energy_ev_per_atom": -1.40,
  "lattice_angstrom": [[-5.4339, 5.4339, 3.5225], [5.4339, -5.4339, 3.5225], [5.4339, 5.4339, -3.5225]],
  "species": ["Rb", "Rb", "Rb", "Rb", "Pb", "Br", "Br", "Br", "Br", "Br"],
  "frac_coords": [[0.0963, 0.2950, 0.3913], [0.2950, 0.9037, 0.1987], [0.7050, 0.0963, 0.8013], [0.9037, 0.7050, 0.6087], [0.4993, 0.4993, 0.0000], [0.2151, 0.5908, 0.8062], [0.4089, 0.2151, 0.6243], [0.5908, 0.7847, 0.3757], [0.7847, 0.4089, 0.1938], [0.9986, 0.9986, 0.0000]]
}


No. 4
{
  "formula": "SrCe2PrAs4",
  "functional": "PBE-GGA",
  "state": "relaxed",
  "m_tot_mub_per_fu": 0.95,
  "dos_ef_per_ev_atom": 1.016,
  "formation_enthalpy_0k_mev_per_atom": -1376,
  "lattice_angstrom": [[7.4483, 0.0000, 0.0000], [0.0000, 4.2979, 0.0000], [-2.4794, 0.0000, 7.0395]],
  "species": ["Sr", "Ce", "Ce", "Pr", "As", "As", "As", "As"],
  "frac_coords": [[0.0000, 0.0000, 0.0000], [0.5000, 0.0000, 0.5000], [0.5000, 0.5000, 0.0000], [0.0000, 0.5000, 0.5000], [0.2630, 0.0000, 0.7484], [0.2706, 0.5000, 0.2634], [0.7294, 0.5000, 0.7366], [0.7370, 0.0000, 0.2516]]
}


No. 5
{
  "formula": "Ti2NiAu",
  "functional": "PBE-GGA",
  "state": "relaxed",
  "m_tot_mub_per_fu": 0.37,
  "dos_ef_per_ev_atom": 1.793,
  "formation_enthalpy_0k_mev_per_atom": -252,
  "lattice_angstrom": [[6.3095, 0.0000, 0.0000], [0.0000, 6.3095, 0.0000], [0.0000, 0.0000, 6.3095]],
  "species": ["Ti", "Ti", "Ti", "Ti", "Ti", "Ti", "Ti", "Ti", "Ni", "Ni", "Ni", "Ni", "Au", "Au", "Au", "Au"],
  "frac_coords": [[0.2500, 0.2500, 0.2500], [0.2500, 0.2500, 0.7500], [0.2500, 0.7500, 0.2500], [0.2500, 0.7500, 0.7500], [0.7500, 0.2500, 0.2500], [0.7500, 0.2500, 0.7500], [0.7500, 0.7500, 0.2500], [0.7500, 0.7500, 0.7500], [0.0000, 0.0000, 0.0000], [0.0000, 0.5000, 0.5000], [0.5000, 0.0000, 0.5000], [0.5000, 0.5000, 0.0000], [0.0000, 0.0000, 0.5000], [0.0000, 0.5000, 0.0000], [0.5000, 0.0000, 0.0000], [0.5000, 0.5000, 0.5000]]
}


No. 6
{
  "formula": "CsSc2Pd",
  "functional": "PBE-GGA",
  "state": "relaxed",
  "m_tot_mub_per_fu": 0.00,
  "dos_ef_per_ev_atom": 1.099,
  "de_polymorph_mev_per_atom": 402.6,
  "formation_enthalpy_0k_mev_per_atom": 431,
  "lattice_angstrom": [[7.0187, 0.0000, 0.0000], [0.0000, 7.0187, 0.0000], [0.0000, 0.0000, 14.6306]],
  "species": ["Cs", "Cs", "Cs", "Cs", "Sc", "Sc", "Sc", "Sc", "Sc", "Sc", "Sc", "Sc", "Pd", "Pd", "Pd", "Pd"],
  "frac_coords": [[0.0000, 0.2500, 0.3750], [0.0000, 0.7500, 0.6250], [0.5000, 0.2500, 0.1250], [0.5000, 0.7500, 0.8750], [0.0000, 0.0000, 0.0000], [0.0000, 0.5000, 0.0000], [0.2500, 0.2500, 0.7500], [0.2500, 0.7500, 0.2500], [0.5000, 0.0000, 0.5000], [0.5000, 0.5000, 0.5000], [0.7500, 0.2500, 0.7500], [0.7500, 0.7500, 0.2500], [0.0000, 0.2500, 0.8750], [0.0000, 0.7500, 0.1250], [0.5000, 0.2500, 0.6250], [0.5000, 0.7500, 0.3750]]
}


No. 7
{
  "formula": "NpSnAs2",
  "functional": "PBE-GGA",
  "state": "relaxed",
  "m_tot_mub_per_fu": 4.06,
  "dos_ef_per_ev_atom": 1.154,
  "de_polymorph_mev_per_atom": 724.4,
  "formation_enthalpy_0k_mev_per_atom": 401,
  "lattice_angstrom": [[3.0447, 0.0000, 0.0000], [-1.5224, 2.6368, 0.0000], [0.0000, 0.0000, 34.5345]],
  "species": ["Np", "Np", "Np", "Sn", "Sn", "Sn", "As", "As", "As", "As", "As", "As"],
  "frac_coords": [[0.0000, 0.0000, 0.0000], [0.3333, 0.6667, 0.6667], [0.6667, 0.3333, 0.3333], [0.0000, 0.0000, 0.5000], [0.3333, 0.6667, 0.1667], [0.6667, 0.3333, 0.8333], [0.0000, 0.0000, 0.0850], [0.0000, 0.0000, 0.9150], [0.3333, 0.6667, 0.5817], [0.3333, 0.6667, 0.7516], [0.6667, 0.3333, 0.2484], [0.6667, 0.3333, 0.4183]]
}


No. 8
{
  "formula": "TbErCI",
  "functional": "PBE-GGA",
  "state": "relaxed",
  "m_tot_mub_per_fu": 0.00,
  "dos_ef_per_ev_atom": 0.550,
  "raw_formation_energy_ev_per_atom": -0.74,
  "lattice_angstrom": [[3.7536, 0.0000, 0.0000], [-1.8768, 3.2507, 0.0000], [0.0000, 0.0000, 22.2088]],
  "species": ["Tb", "Tb", "Tb", "Er", "Er", "Er", "C", "C", "C", "I", "I", "I"],
  "frac_coords": [[0.0000, 0.0000, 0.0000], [0.3333, 0.6667, 0.6667], [0.6667, 0.3333, 0.3333], [0.0000, 0.0000, 0.7801], [0.3333, 0.6667, 0.4468], [0.6667, 0.3333, 0.1135], [0.0000, 0.0000, 0.3939], [0.3333, 0.6667, 0.0606], [0.6667, 0.3333, 0.7272], [0.0000, 0.0000, 0.2221], [0.3333, 0.6667, 0.8887], [0.6667, 0.3333, 0.5554]]
}